Compound: ReAg3
Source: Alexandria via LeMat-Bulk
Functional: GGA-PBE
Structure: relaxed

- Energy of formation from the pure elements: 0.6735 eV/atom
- Energy relative to the lowest polymorph listed for this composition: 286 meV per atom
- Space group: Immm (71)

Structure (extended XYZ):
```
4
Lattice="-1.359 2.521 5.062 1.359 -2.521 5.062 1.359 2.521 -5.062" Properties=species:S:1:pos:R:3 pbc="T T T"
Re 0.000 0.000 0.000
Ag 1.359 0.000 2.490
Ag 0.000 0.000 5.062
Ag 0.000 2.521 2.573
```

=====

Compound: HIrF6
Source: Alexandria via LeMat-Bulk
Functional: GGA-PBE
Structure: relaxed

- Energy relative to the lowest polymorph listed for this composition: 0 meV per atom
- Space group: C2/m (12)

Structure (extended XYZ):
```
8
Lattice="2.640 -4.503 0.000 2.640 4.503 0.000 -2.568 0.000 4.824" Properties=species:S:1:pos:R:3 pbc="T T T"
H 0.000 0.000 0.000
Ir -1.284 0.000 2.412
F -0.448 1.343 3.452
F 0.235 0.000 1.132
F -0.448 -1.343 3.452
F 3.160 1.343 1.372
F 2.477 0.000 3.691
F 3.160 -1.343 1.372
```

=====

| no. | E_tot (eV/atom) |
| --- | --- |
| 1 | -4.577 |
| 2 | -4.380 |